[1]
A plane-wave DFT calculation with PBE-GGA was carried out for a relaxed structure of Li2Pu2Br7.

Unit cell a=7.4638 b=7.4638 c=10.5249 alpha=97.08 beta=97.08 gamma=117.83
Fractional coordinates of all 11 atoms:
Li1 0.1829 0.1829 0.2137
Li2 0.8171 0.8171 0.7863
Pu1 0.3293 0.6707 0.5000
Pu2 0.6707 0.3293 0.5000
Br1 0.0000 0.0000 0.0000
Br2 0.0435 0.6964 0.6582
Br3 0.3036 0.9565 0.3418
Br4 0.4677 0.4677 0.6821
Br5 0.5323 0.5323 0.3179
Br6 0.6964 0.0435 0.6582
Br7 0.9565 0.3036 0.3418

Summary:
DOS at the Fermi energy, states/eV/f.u.: 26.80
Offset from the most stable computed form, meV per atom: 0

[2]
A plane-wave DFT calculation with PBE-GGA was carried out for a relaxed structure of Na2GaSnH.

Unit cell a=4.5772 b=4.5772 c=4.7072 alpha=90.00 beta=90.00 gamma=90.00
Fractional coordinates of all 5 atoms:
Na1 0.0000 0.5000 0.0000
Na2 0.5000 0.0000 0.0000
Ga1 0.0000 0.0000 0.5000
Sn1 0.5000 0.5000 0.5000
H1 0.5000 0.5000 0.0000

Summary:
DOS at the Fermi energy, states/eV/f.u.: 1.47
Offset from the most stable computed form, meV per atom: 53

[3]
A plane-wave DFT calculation with PBE-GGA was carried out for a relaxed structure of FeTe.

Unit cell a=6.8815 b=6.8815 c=6.8815 alpha=90.00 beta=90.00 gamma=90.00
Fractional coordinates of all 16 atoms:
Fe1 0.1250 0.1250 0.1250
Fe2 0.1250 0.6250 0.6250
Fe3 0.3750 0.3750 0.8750
Fe4 0.3750 0.8750 0.3750
Fe5 0.6250 0.1250 0.6250
Fe6 0.6250 0.6250 0.1250
Fe7 0.8750 0.3750 0.3750
Fe8 0.8750 0.8750 0.8750
Te1 0.1250 0.1250 0.6250
Te2 0.1250 0.6250 0.1250
Te3 0.3750 0.3750 0.3750
Te4 0.3750 0.8750 0.8750
Te5 0.6250 0.1250 0.1250
Te6 0.6250 0.6250 0.6250
Te7 0.8750 0.3750 0.8750
Te8 0.8750 0.8750 0.3750

Summary:
DOS at the Fermi energy, states/eV/f.u.: 2.44
DFT total energy, eV/cell: -78.9